No. 1
Material: CeHoSe2O
Method: DFT, PBE-GGA
State: relaxed

```
CeHoSe2O
1.0
4.005 0.000 0.000
0.000 4.005 0.000
0.000 0.000 14.298
Ce Ho Se O
2 2 4 2
Direct
0.250 0.250 0.086
0.750 0.750 0.914
0.250 0.250 0.617
0.750 0.750 0.383
0.250 0.250 0.407
0.250 0.250 0.807
0.750 0.750 0.193
0.750 0.750 0.593
0.250 0.750 0.000
0.750 0.250 0.000
```

Properties
* formation energy without anion corrections: -2412 meV per atom
* crystal system: tetragonal
* spin magnetization: 0.73 μB per formula unit



No. 2
Material: Ce4Ho2Sn3O2
Method: DFT, PBE-GGA
State: relaxed

```
Ce4Ho2Sn3O2
1.0
-2.355 2.355 12.818
2.355 -2.355 12.818
2.355 2.355 -12.818
Ce Ho Sn O
4 2 3 2
Direct
0.085 0.585 0.500
0.415 0.915 0.500
0.585 0.085 0.500
0.915 0.415 0.500
0.197 0.197 0.000
0.803 0.803 0.000
0.320 0.320 0.000
0.500 0.500 0.000
0.680 0.680 0.000
0.106 0.106 0.000
0.894 0.894 0.000
```

Properties
* formation energy without anion corrections: -1381 meV per atom
* crystal system: tetragonal
* spin magnetization: 3.53 μB per formula unit



No. 3
Material: Sr2CeHoO6
Method: DFT, PBE-GGA
State: relaxed

```
Sr2CeHoO6
1.0
6.009 0.000 0.000
0.000 6.164 0.000
-5.997 0.000 8.599
Sr Ce Ho O
4 2 2 12
Direct
0.235 0.047 0.250
0.235 0.453 0.750
0.765 0.547 0.250
0.765 0.953 0.750
0.500 0.000 0.000
0.500 0.500 0.500
0.000 0.000 0.500
0.000 0.500 0.000
0.148 0.204 0.943
0.148 0.296 0.443
0.241 0.707 0.943
0.241 0.793 0.443
0.356 0.044 0.751
0.356 0.456 0.251
0.644 0.544 0.749
0.644 0.956 0.249
0.759 0.207 0.557
0.759 0.293 0.057
0.852 0.704 0.557
0.852 0.796 0.057
```

Properties
* formation energy without anion corrections: -2987 meV per atom
* crystal system: monoclinic
* spin magnetization: 1.06 μB per formula unit